1.
Compound: Tb2CuP3Rh4
Source: the Alexandria database
Functional: PBE
Structure: relaxed

Output
Energy of formation in meV per atom: -983
E_tot in eV/f.u.: -68.8
Calculated density in g cm⁻³: 9.06

```
data_Tb2CuP3Rh4
_symmetry_space_group_name_H-M 'P -4 m 2'
_symmetry_Int_Tables_number 115
_symmetry_space_group_name_Hall 'P -4 -2'
_cell_length_a 4.0581
_cell_length_b 4.0581
_cell_length_c 9.8601
_cell_angle_alpha 90.00
_cell_angle_beta 90.00
_cell_angle_gamma 90.00
loop_
_atom_site_label
_atom_site_fract_x
_atom_site_fract_y
_atom_site_fract_z
_atom_site_occupancy
Tb1 0.0000 0.5000 0.2429 1
Cu1 0.5000 0.5000 0.0000 1
P1 0.0000 0.0000 0.0000 1
P2 0.0000 0.5000 0.6368 1
Rh1 0.0000 0.0000 0.5000 1
Rh2 0.0000 0.5000 0.8661 1
Rh3 0.5000 0.5000 0.5000 1
```


2.
Compound: Sc2NbTe
Source: the Alexandria database
Functional: PBE
Structure: relaxed

Output
E_tot in eV/f.u.: -25.3
Energy relative to the elements, uncorrected in eV per atom: 0.145
Calculated density in g cm⁻³: 5.29

```
data_Sc2NbTe
_symmetry_space_group_name_H-M 'R -3 m'
_symmetry_Int_Tables_number 166
_symmetry_space_group_name_Hall '-R 3 2"'
_cell_length_a 3.2837
_cell_length_b 3.2837
_cell_length_c 31.3126
_cell_angle_alpha 90.00
_cell_angle_beta 90.00
_cell_angle_gamma 120.00
loop_
_atom_site_label
_atom_site_fract_x
_atom_site_fract_y
_atom_site_fract_z
_atom_site_occupancy
Sc1 0.0000 0.0000 0.0935 1
Nb1 0.0000 0.0000 0.5000 1
Te1 0.0000 0.0000 0.0000 1
```